Here is a geometry-optimized LiCeAlTc structure from Alexandria via LeMat-Bulk. Energies are from GGA-PBE.

Energy of formation, eV/atom: -0.12
M_tot, μB per formula unit: 0.000

```
LiCeAlTc
1.0
-3.1850 -1.2200 -3.1471
-3.0885 -3.3191 0.9907
-4.4588 1.1026 0.6634
Li Tc Ce Al
1 1 1 1
direct
0.0000 0.0000 0.0000
0.5000 0.5000 0.5000
0.7500 0.7500 0.7500
0.2500 0.2500 0.2500
```



Here is a geometry-optimized LiCeAlTl structure from Alexandria via LeMat-Bulk. Energies are from GGA-PBE.

Energy of formation, eV/atom: -0.18
M_tot, μB per formula unit: 0.793

```
LiCeAlTl
1.0
5.1182 0.0000 0.0000
2.5591 4.4325 0.0000
2.5591 1.4775 4.1790
Tl Al Ce Li
1 1 1 1
direct
0.2500 0.2500 0.2500
0.7500 0.7500 0.7500
0.5000 0.5000 0.5000
0.0000 0.0000 0.0000
```



Here is a geometry-optimized LiCeAl2Zn4 structure from Alexandria via LeMat-Bulk. Energies are from GGA-PBE.

Energy of formation, eV/atom: -0.24
M_tot, μB per formula unit: 0.000

```
LiCeAl2Zn4
1.0
4.4072 0.0000 0.0000
2.2036 3.8168 0.0000
2.2036 1.2723 8.2453
Li Ce Al Zn
1 1 2 4
direct
0.5000 0.5000 0.5000
0.0000 0.0000 0.0000
0.7547 0.7547 0.7358
0.2453 0.2453 0.2642
0.3962 0.3962 0.8115
0.8675 0.8675 0.3976
0.1325 0.1325 0.6024
0.6038 0.6038 0.1885
```